Compound: La5TbPr2Mg
Source: Alexandria
Functional: PBE-GGA
Structure: relaxed

Calculated values
Energy of formation from the pure elements ... 0.072 eV per atom

a b c (Å): 5.6781 10.5431 11.1018
angles (deg): 90.00 90.00 105.62
With the nearest neighbours (Å) after each atom.
Element x y z (fractional)
La 0.3778 0.7555 0.0081  4 Pr 3.68, 6 La 3.72-3.93, 1 Tb 3.74
La 0.7141 0.4283 0.8100  1 Mg 3.26, 2 La 3.40, 3 Pr 3.45-3.60, 2 Tb 3.62
La 0.2871 0.5741 0.7077  1 Mg 3.26, 2 La 3.40, 3 Pr 3.46-3.59, 2 Tb 3.62
La 0.0117 0.0233 0.0080  2 Mg 3.31, 2 Pr 3.49-3.51, 1 Tb 3.69
La 0.4999 0.9997 0.2576  2 Mg 3.38, 4 Pr 3.72, 2 La 3.72-3.73
La 0.2859 0.5717 0.3100  1 Mg 3.26, 2 La 3.40, 3 Pr 3.45-3.60, 2 Tb 3.62
La 0.5001 0.0003 0.7576  2 Mg 3.38, 4 Pr 3.72, 2 La 3.72-3.73
La 0.9883 0.9767 0.5080  2 Mg 3.31, 2 Pr 3.49-3.51, 1 Tb 3.69
La 0.6222 0.2445 0.5081  4 Pr 3.68, 6 La 3.72-3.93, 1 Tb 3.74
La 0.7129 0.4259 0.2077  1 Mg 3.26, 2 La 3.40, 3 Pr 3.46-3.59, 2 Tb 3.62
Mg 0.4048 0.8096 0.5075  6 La 3.26-3.38, 2 Tb 3.47
Mg 0.5952 0.1904 0.0075  6 La 3.26-3.38, 2 Tb 3.47
Tb 0.8066 0.6132 0.5087  2 Mg 3.47, 2 Pr 3.57, 8 La 3.62-3.85
Tb 0.1934 0.3868 0.0087  2 Mg 3.47, 2 Pr 3.57, 8 La 3.62-3.85
Pr 0.8839 0.7679 0.7973  9 La 3.45-3.85, 1 Tb 3.57
Pr 0.1169 0.2339 0.7189  9 La 3.46-3.86, 1 Tb 3.57
Pr 0.1161 0.2321 0.2973  9 La 3.45-3.85, 1 Tb 3.57
Pr 0.8831 0.7661 0.2189  9 La 3.46-3.86, 1 Tb 3.57

---

Compound: Mn2SiS
Source: Alexandria
Functional: PBE-GGA
Structure: relaxed

Calculated values
Offset from the most stable computed form ... 0.0 kJ per mole of atoms

a b c (Å): 3.9744 3.9744 3.9744
angles (deg): 60.00 60.00 60.00
With the nearest neighbours (Å) after each atom.
Element x y z (fractional)
S 0.5000 0.5000 0.5000  8 Mn 2.43
Mn 0.7500 0.7500 0.7500  4 S 2.43, 4 Si 2.43
Mn 0.2500 0.2500 0.2500  4 S 2.43, 4 Si 2.43
Si 0.0000 0.0000 0.0000  8 Mn 2.43

---

Compound: K2RbCrS4
Source: Alexandria
Functional: PBE-GGA
Structure: relaxed

Calculated values
Calculated total energy ... -36.64 eV for the cell shown

a b c (Å): 6.9702 6.9702 6.9702
angles (deg): 105.93 111.27 111.27
With the nearest neighbours (Å) after each atom.
Element x y z (fractional)
K 0.5000 0.2500 0.7500  4 S 3.09
K 0.5000 0.7500 0.2500  4 S 3.09
S 0.3175 0.8020 0.8020  1 Cr 2.14
S 0.6825 0.4845 0.4845  1 Cr 2.14
S 0.0000 0.5155 0.1980  1 Cr 2.14
S 0.0000 0.1980 0.5155  1 Cr 2.14
Rb 0.0000 0.0000 0.0000  4 S 3.48
Cr 0.0000 0.5000 0.5000  4 S 2.14

---

Compound: CeB2P
Source: Alexandria
Functional: PBE-GGA
Structure: relaxed

Calculated values
Energy of formation from the pure elements ... -0.079 eV per atom

a b c (Å): 3.1871 3.9320 5.2604
angles (deg): 61.44 72.37 66.09
With the nearest neighbours (Å) after each atom.
Element x y z (fractional)
P 0.7500 0.7500 0.7500  6 B 2.12-2.24
B 0.4815 0.3811 0.6560  2 B 1.89, 1 P 2.12
B 0.0185 0.1189 0.8440  2 B 1.89, 1 P 2.12
Ce 0.2500 0.2500 0.2500  8 B 2.77-2.95, 4 P 2.89

---

Compound: BeInO3
Source: Alexandria
Functional: PBE-GGA
Structure: relaxed

Calculated values
Calculated total energy ... -21.25 eV for the cell shown

a b c (Å): 4.0327 4.0327 4.0327
angles (deg): 90.00 90.00 90.00
With the nearest neighbours (Å) after each atom.
Element x y z (fractional)
Be 0.5000 0.5000 0.5000  12 O 2.85
In 0.0000 0.0000 0.0000  6 O 2.02
O 0.0000 0.0000 0.5000  2 In 2.02
O 0.5000 0.0000 0.0000  2 In 2.02
O 0.0000 0.5000 0.0000  2 In 2.02

---

Compound: SrMg2MoN4
Source: Alexandria
Functional: PBE-GGA
Structure: relaxed

Calculated values
Calculated total energy ... -111.28 eV for the cell shown

a b c (Å): 5.5218 5.8272 7.4643
angles (deg): 90.00 90.00 90.00
With the nearest neighbours (Å) after each atom.
Element x y z (fractional)
N 0.4548 0.1304 0.5000  1 Mo 1.92
N 0.8686 0.3353 0.2026  1 Mo 1.87
N 0.3686 0.6647 0.7026  1 Mo 1.87
N 0.8686 0.3353 0.7974  1 Mo 1.87
N 0.9548 0.8696 0.0000  1 Mo 1.92
N 0.3391 0.2420 0.0000  1 Mo 1.88
N 0.3686 0.6647 0.2974  1 Mo 1.87
N 0.8391 0.7580 0.5000  1 Mo 1.88
Mo 0.0019 0.1957 0.0000  4 N 1.87-1.92
Mo 0.5019 0.8043 0.5000  4 N 1.87-1.92
Sr 0.9782 0.1753 0.5000  4 N 2.48-2.64
Sr 0.4782 0.8247 0.0000  4 N 2.48-2.64
Mg 0.4943 0.3303 0.2535  4 N 2.09-2.19
Mg 0.9943 0.6697 0.2465  4 N 2.09-2.19
Mg 0.4943 0.3303 0.7465  4 N 2.09-2.19
Mg 0.9943 0.6697 0.7535  4 N 2.09-2.19

---

Compound: Cu3Au2
Source: Alexandria
Functional: PBE-GGA
Structure: relaxed

Calculated values
Energy of formation from the pure elements ... 0.010 eV per atom
Offset from the most stable computed form ... 3.7 kJ per mole of atoms

a b c (Å): 5.1604 5.1604 7.0243
angles (deg): 80.51 80.51 123.43
With the nearest neighbours (Å) after each atom.
Element x y z (fractional)
Cu 0.0445 0.0445 0.0000  2 Cu 2.55, 6 Au 2.65-2.78
Cu 0.6622 0.7406 0.8019  4 Cu 2.55-2.70, 5 Au 2.65-2.81
Cu 0.7945 0.2945 0.5000  2 Cu 2.55, 6 Au 2.65-2.78
Cu 0.5425 0.4641 0.1981  4 Cu 2.55-2.70, 5 Au 2.65-2.81
Cu 0.2141 0.7925 0.6981  4 Cu 2.55-2.70, 5 Au 2.65-2.81
Cu 0.4906 0.9122 0.3019  4 Cu 2.55-2.70, 5 Au 2.65-2.81
Au 0.1043 0.5415 0.1050  9 Cu 2.65-2.87, 2 Au 2.87
Au 0.9593 0.8966 0.3950  9 Cu 2.65-2.87, 2 Au 2.87
Au 0.6466 0.2093 0.8950  9 Cu 2.65-2.87, 2 Au 2.87
Au 0.2915 0.3543 0.6050  9 Cu 2.65-2.87, 2 Au 2.87

---

Compound: PaBRh6
Source: Alexandria
Functional: PBE-GGA
Structure: relaxed

Calculated values
Energy of formation from the pure elements ... -0.251 eV per atom

a b c (Å): 5.1094 5.1094 5.1095
angles (deg): 78.39 78.39 101.59
With the nearest neighbours (Å) after each atom.
Element x y z (fractional)
Rh 0.7162 0.7162 0.8844  1 B 2.10
Rh 0.8842 0.2838 0.7162  1 B 2.10
Rh 0.2838 0.2838 0.1156  1 B 2.10
Rh 0.2838 0.8842 0.7162  1 B 2.10
Rh 0.7162 0.1158 0.2838  1 B 2.10
Rh 0.1158 0.7162 0.2838  1 B 2.10
B 0.0000 0.0000 0.0000  6 Rh 2.10
Pa 0.5000 0.5000 0.5000  12 Rh 2.75-3.01

---

Compound: AcLa2Rh
Source: Alexandria
Functional: PBE-GGA
Structure: relaxed

Calculated values
Energy of formation from the pure elements ... -0.247 eV per atom
Offset from the most stable computed form ... 19.6 kJ per mole of atoms

a b c (Å): 4.0111 4.0111 11.2120
angles (deg): 79.70 79.70 60.00
With the nearest neighbours (Å) after each atom.
Element x y z (fractional)
La 0.8836 0.8836 0.3492  3 Rh 2.85
La 0.1164 0.1164 0.6508  3 Rh 2.85
Ac 0.0000 0.0000 0.0000  2 La 3.83, 6 Ac 4.01
Rh 0.5000 0.5000 0.5000  6 La 2.85

---

Compound: Ba5Ir
Source: Alexandria
Functional: PBE-GGA
Structure: relaxed

Calculated values
Energy of formation from the pure elements ... 0.072 eV per atom
Offset from the most stable computed form ... 10.2 kJ per mole of atoms

a b c (Å): 4.0286 4.0286 18.0140
angles (deg): 90.00 90.00 90.00
With the nearest neighbours (Å) after each atom.
Element x y z (fractional)
Ba 0.0000 0.0000 0.0960  4 Ir 3.33, 1 Ba 3.46
Ba 0.0000 0.0000 0.5000  12 Ba 4.03-4.50
Ba 0.0000 0.0000 0.9040  4 Ir 3.33, 1 Ba 3.46
Ba 0.5000 0.5000 0.3064  8 Ba 4.03-4.50
Ba 0.5000 0.5000 0.6936  8 Ba 4.03-4.50
Ir 0.5000 0.5000 0.0000  8 Ba 3.33

---

Compound: PrPuPt2
Source: Alexandria
Functional: PBE-GGA
Structure: relaxed

Calculated values
Energy of formation from the pure elements ... -0.935 eV per atom

a b c (Å): 3.9261 4.4246 5.8449
angles (deg): 90.00 109.68 90.00
With the nearest neighbours (Å) after each atom.
Element x y z (fractional)
Pt 0.9915 0.0000 0.5223  2 Pt 2.96, 3 Pr 2.96-3.21, 4 Pu 3.00
Pt 0.1698 0.5000 0.8787  2 Pt 2.96, 4 Pr 3.01, 3 Pu 3.05-3.14
Pu 0.4467 0.5000 0.4330  7 Pt 3.00-3.14
Pr 0.7230 0.0000 0.9840  7 Pt 2.96-3.21

---

Compound: TcRh2N
Source: Alexandria
Functional: PBE-GGA
Structure: relaxed

Calculated values
Calculated total energy ... -60.92 eV for the cell shown

a b c (Å): 5.0073 5.0073 6.1878
angles (deg): 66.13 66.13 90.00
With the nearest neighbours (Å) after each atom.
Element x y z (fractional)
Rh 0.5475 0.1250 0.2500  2 N 1.98
Rh 0.3750 0.4525 0.7500  2 N 1.98
Rh 0.8750 0.7975 0.7500  2 N 1.98
Rh 0.2025 0.6250 0.2500  2 N 1.98
Tc 0.0000 0.0000 0.0000  4 Rh 2.42
Tc 0.7500 0.2500 0.5000  4 Rh 2.42
N 0.5000 0.5000 0.0000  4 Rh 1.98
N 0.2500 0.7500 0.5000  4 Rh 1.98

---

Which formula does entry 1 have?
La5TbPr2Mg

---

Which formula does entry 9 have?
AcLa2Rh